The following is a PBE calculation of crystalline HoCrOs at its relaxed geometry, from Alexandria.

The structure belongs to space group Fddd (No. 70, origin choice 2); the cell edges are 4.783, 10.414 and 19.011 Å and the angles 90.00°, 90.00° and 90.00°. Symmetry generates all atoms from Ho at (0.125, 0.272, 0.125), Cr at (0.125, 0.125, 0.533) and Os at (0.125, 0.125, 0.252).

As for the energy: -391.40 eV/cell.

The following is a PBE calculation of crystalline HoCrP2 at its relaxed geometry, from Alexandria.

The structure belongs to space group R-3m (No. 166, hexagonal axes); the cell edges are 3.7735, 3.7735 and 17.2911 Å and the angles 90.00°, 90.00° and 120.00°. Symmetry generates all atoms from Ho at (0.0000, 0.0000, 0.0000), Cr at (0.0000, 0.0000, 0.5000) and P at (0.0000, 0.0000, 0.2346).

As for the energy: -85.95 eV/cell.

The following is a PBE calculation of crystalline Ho3CrP2Rh9 at its relaxed geometry, from Alexandria.

The structure belongs to space group P-3m1 (No. 164); the cell edges are 5.8908, 5.8908 and 8.8967 Å and the angles 90.00°, 90.00° and 120.00°. Symmetry generates all atoms from Ho at (0.0000, 0.0000, 0.0000), Ho at (0.3333, 0.6667, 0.6137), Cr at (0.0000, 0.0000, 0.5000), P at (0.3333, 0.6667, 0.1611), Rh at (0.0000, 0.5000, 0.0000) and Rh at (0.1589, 0.3178, 0.3064).

As for the energy: -108.22 eV/cell.

Number 1: formation energy 0.3229 eV per atom. Number 2: formation energy -0.9072 eV per atom. Number 3: formation energy -0.5256 eV per atom.